No. 1
VASP calculation (PBE-GGA) on crystalline Sm6GeIr2I3 at its relaxed geometry.

Lattice parameters (Å, degrees): 7.339 7.339 8.300 98.48 98.48 120.01
Positions (direct):
Sm: 0.090 0.438 0.812
Sm: 0.214 0.214 0.187
Sm: 0.438 0.090 0.812
Sm: 0.562 0.910 0.188
Sm: 0.786 0.786 0.813
Sm: 0.910 0.562 0.188
Ge: 0.500 0.500 0.000
Ir: 0.167 0.833 0.000
Ir: 0.833 0.167 0.000
I: 0.000 0.000 0.500
I: 0.338 0.662 0.500
I: 0.662 0.338 0.500

E_tot = -0.2042 hartree per atom
E_form (uncorrected) = -0.948 eV per atom
crystal system = monoclinic
size of the total moment = 0.000 μB per atom


No. 2
VASP calculation (PBE-GGA) on crystalline Pm2PrNdY at its relaxed geometry.

Lattice parameters (Å, degrees): 7.303 7.303 7.248 90.00 90.00 108.95
Positions (direct):
Pm: 0.188 0.188 0.000
Pm: 0.188 0.188 0.500
Pm: 0.812 0.812 0.000
Pm: 0.812 0.812 0.500
Pr: 0.224 0.776 0.750
Pr: 0.776 0.224 0.250
Nd: 0.486 0.514 0.750
Nd: 0.514 0.486 0.250
Y: 0.234 0.766 0.250
Y: 0.766 0.234 0.750

E_tot = -0.1739 hartree per atom
DFT formation energy = 0.371 eV/atom
crystal system = orthorhombic
size of the total moment = 0.000 μB per atom


No. 3
VASP calculation (PBE-GGA) on crystalline ZrCrInGe2 at its relaxed geometry.

Lattice parameters (Å, degrees): 5.259 5.259 4.674 90.00 90.00 90.00
Positions (direct):
Zr: 0.000 0.000 0.000
Cr: 0.000 0.000 0.500
In: 0.500 0.500 0.500
Ge: 0.000 0.500 0.000
Ge: 0.500 0.000 0.000

E_tot = -0.1855 hartree per atom
DFT formation energy = 0.982 eV/atom
crystal system = tetragonal
size of the total moment = 0.000 μB per atom


No. 4
VASP calculation (PBE-GGA) on crystalline LiNb2AuS at its relaxed geometry.

Lattice parameters (Å, degrees): 5.127 5.127 5.029 90.00 90.00 90.00
Positions (direct):
Li: 0.000 0.000 0.000
Nb: 0.000 0.500 0.500
Nb: 0.500 0.000 0.500
Au: 0.500 0.500 0.500
S: 0.500 0.500 0.000

E_tot = -0.1644 hartree per atom
E_form (uncorrected) = 1.417 eV per atom
crystal system = tetragonal
size of the total moment = 0.772 μB per atom


No. 5
VASP calculation (PBE-GGA) on crystalline AcLaTm2Sb4 at its relaxed geometry.

Lattice parameters (Å, degrees): 7.820 4.537 7.854 90.00 109.55 90.00
Positions (direct):
Ac: 0.000 0.000 0.000
La: 0.000 0.500 0.500
Tm: 0.500 0.000 0.500
Tm: 0.500 0.500 0.000
Sb: 0.270 0.000 0.752
Sb: 0.274 0.500 0.262
Sb: 0.726 0.500 0.738
Sb: 0.730 0.000 0.248

E_tot = -0.2001 hartree per atom
E_form (uncorrected) = -1.137 eV per atom
crystal system = monoclinic
size of the total moment = 0.000 μB per atom


No. 6
VASP calculation (PBE-GGA) on crystalline KS2O8 at its relaxed geometry.

Lattice parameters (Å, degrees): 6.356 6.356 6.824 115.10 115.10 50.17
Positions (direct):
K: 0.000 0.000 0.000
S: 0.216 0.216 0.714
S: 0.784 0.784 0.286
O: 0.051 0.602 0.207
O: 0.145 0.145 0.470
O: 0.359 0.359 0.800
O: 0.398 0.949 0.793
O: 0.602 0.051 0.207
O: 0.641 0.641 0.200
O: 0.855 0.855 0.530
O: 0.949 0.398 0.793

E_tot = -0.2018 hartree per atom
E_form (uncorrected) = -1.035 eV per atom
crystal system = monoclinic
size of the total moment = 0.273 μB per atom


No. 7
VASP calculation (PBE-GGA) on crystalline MoS6 at its relaxed geometry.

Lattice parameters (Å, degrees): 8.763 8.763 7.172 90.00 90.00 141.51
Positions (direct):
Mo: 0.000 0.000 0.000
S: 0.000 0.000 0.311
S: 0.000 0.000 0.689
S: 0.028 0.311 0.000
S: 0.311 0.028 0.000
S: 0.689 0.972 0.000
S: 0.972 0.689 0.000

E_tot = -0.1735 hartree per atom
E_form (uncorrected) = 0.364 eV per atom
crystal system = orthorhombic
size of the total moment = 0.467 μB per atom


No. 8
VASP calculation (PBE-GGA) on crystalline K2Se3 at its relaxed geometry.

Lattice parameters (Å, degrees): 6.593 6.593 7.731 90.00 90.00 108.92
Positions (direct):
K: 0.088 0.912 0.500
K: 0.402 0.598 0.720
K: 0.598 0.402 0.220
K: 0.912 0.088 0.000
Se: 0.091 0.411 0.350
Se: 0.292 0.708 0.167
Se: 0.411 0.091 0.850
Se: 0.589 0.909 0.350
Se: 0.708 0.292 0.667
Se: 0.909 0.589 0.850

E_tot = -0.1227 hartree per atom
E_form (uncorrected) = -0.808 eV per atom
crystal system = orthorhombic
size of the total moment = 0.000 μB per atom